[1]
Below is a geometry-optimized Co2Ni3Pd4 structure, with properties calculated at the GGA-PBE level.

Values from the calculation:
DFT total energy, eV/atom: -5.7142
V, Å³ per cell: 121.1

Lattice parameters (Å, degrees): 6.6304 6.6304 7.0457 96.95 96.95 23.20
With the nearest neighbours (Å) after each atom.
Sites, in units of the cell vectors:
Co: 0.1769 0.1769 0.0317  4 Co 2.41-2.67, 3 Ni 2.46-2.49, 4 Pd 2.63-2.68
Co: 0.8231 0.8231 0.9683  4 Co 2.41-2.67, 3 Ni 2.46-2.49, 4 Pd 2.63-2.68
Ni: 0.3382 0.3382 0.2632  3 Co 2.46-2.49, 3 Ni 2.52-2.67, 5 Pd 2.61-2.68
Ni: 0.5000 0.5000 0.5000  4 Ni 2.52-2.67, 6 Pd 2.56-2.63
Ni: 0.6618 0.6618 0.7368  3 Co 2.46-2.49, 3 Ni 2.52-2.67, 5 Pd 2.61-2.68
Pd: 0.0014 0.0014 0.1908  4 Ni 2.56-2.61, 2 Co 2.63-2.66, 5 Pd 2.67-2.81
Pd: 0.3207 0.3207 0.6380  4 Ni 2.62-2.68, 6 Pd 2.67-2.84, 2 Co 2.68
Pd: 0.6793 0.6793 0.3620  4 Ni 2.62-2.68, 6 Pd 2.67-2.84, 2 Co 2.68
Pd: 0.9986 0.9986 0.8092  4 Ni 2.56-2.61, 2 Co 2.63-2.66, 5 Pd 2.67-2.81



[2]
Below is a geometry-optimized CoNi2Pd8 structure, with properties calculated at the GGA-PBE level.

Values from the calculation:
DFT total energy, eV/atom: -5.1787
V, Å³ per cell: 173.9

Lattice parameters (Å, degrees): 6.6792 6.6792 4.6202 102.19 102.19 60.49
With the nearest neighbours (Å) after each atom.
Sites, in units of the cell vectors:
Co: 0.0000 0.0000 0.0000  2 Ni 2.37, 6 Pd 2.47
Ni: 0.1098 0.1098 0.5050  1 Co 2.37, 4 Pd 2.52-2.65, 1 Ni 2.52
Ni: 0.8902 0.8902 0.4950  1 Co 2.37, 4 Pd 2.52-2.65, 1 Ni 2.52
Pd: 0.2198 0.2198 0.0808  1 Co 2.47, 2 Ni 2.58-2.65, 4 Pd 2.70-2.72
Pd: 0.2332 0.6302 0.2129  1 Co 2.47, 1 Ni 2.52, 3 Pd 2.67-2.73
Pd: 0.3462 0.3462 0.6597  1 Ni 2.65, 8 Pd 2.70-2.84
Pd: 0.3698 0.7668 0.7871  1 Co 2.47, 1 Ni 2.52, 3 Pd 2.67-2.73
Pd: 0.6302 0.2332 0.2129  1 Co 2.47, 1 Ni 2.52, 3 Pd 2.67-2.73
Pd: 0.6538 0.6538 0.3403  1 Ni 2.65, 8 Pd 2.70-2.84
Pd: 0.7668 0.3698 0.7871  1 Co 2.47, 1 Ni 2.52, 3 Pd 2.67-2.73
Pd: 0.7802 0.7802 0.9192  1 Co 2.47, 2 Ni 2.58-2.65, 4 Pd 2.70-2.72



[3]
Below is a geometry-optimized CoNi2Pd4 structure, with properties calculated at the GGA-PBE level.

Values from the calculation:
DFT total energy, eV/atom: -5.5670
V, Å³ per cell: 193.7

Lattice parameters (Å, degrees): 4.7832 6.5215 6.5554 88.31 73.27 81.49
With the nearest neighbours (Å) after each atom.
Sites, in units of the cell vectors:
Co: 0.0000 0.0000 0.0000  3 Ni 2.42-2.64, 5 Pd 2.55-2.69
Co: 0.4458 0.7963 0.5469  6 Pd 2.45-2.73, 2 Ni 2.45-2.49
Ni: 0.2418 0.4650 0.5597  3 Ni 2.39-2.48, 1 Co 2.49, 3 Pd 2.60-2.66
Ni: 0.4455 0.9344 0.1293  2 Co 2.49-2.64, 6 Pd 2.51-2.63
Ni: 0.7390 0.4585 0.5665  3 Ni 2.39-2.48, 1 Co 2.45, 5 Pd 2.59-2.67
Ni: 0.8934 0.3528 0.8890  1 Co 2.42, 2 Pd 2.46-2.54, 2 Ni 2.48
Pd: 0.0099 0.7582 0.3366  3 Ni 2.55-2.69, 3 Co 2.63-2.85, 5 Pd 2.76-2.84
Pd: 0.0622 0.0965 0.5774  1 Co 2.45, 3 Ni 2.54-2.66
Pd: 0.1611 0.3150 0.2048  4 Ni 2.63-2.72, 7 Pd 2.70-2.89, 1 Co 2.80
Pd: 0.2948 0.6142 0.9137  2 Co 2.61-2.69, 4 Ni 2.63-2.84, 5 Pd 2.70-2.83
Pd: 0.4692 0.1672 0.8002  5 Ni 2.59-2.76, 1 Co 2.62, 5 Pd 2.76-2.89
Pd: 0.6152 0.5615 0.2094  4 Ni 2.46-2.62, 1 Co 2.59, 1 Pd 2.76
Pd: 0.6439 0.1455 0.3541  3 Ni 2.51-2.71, 2 Co 2.56-2.73, 4 Pd 2.77-2.81
Pd: 0.8172 0.7621 0.7814  2 Co 2.55-2.65, 4 Ni 2.59-2.74, 4 Pd 2.71-2.79



[4]
Below is a geometry-optimized CoNiPd2 structure, with properties calculated at the GGA-PBE level.

Values from the calculation:
DFT total energy, eV/atom: -5.3520
Relative energy among the computed polymorphs, meV/atom: 421
V, Å³ per cell: 236.2

Lattice parameters (Å, degrees): 6.7028 6.7028 5.2572 90.00 90.00 90.00
With the nearest neighbours (Å) after each atom.
Sites, in units of the cell vectors:
Co: 0.0000 0.0000 0.0000  4 Pd 2.44, 2 Ni 2.63
Co: 0.0000 0.5000 0.2500  4 Pd 2.44, 2 Ni 2.63
Co: 0.5000 0.0000 0.7500  4 Pd 2.44, 2 Ni 2.63
Co: 0.5000 0.5000 0.5000  4 Pd 2.44, 2 Ni 2.63
Ni: 0.0000 0.0000 0.5000  4 Pd 2.48, 2 Co 2.63
Ni: 0.0000 0.5000 0.7500  4 Pd 2.48, 2 Co 2.63
Ni: 0.5000 0.0000 0.2500  4 Pd 2.48, 2 Co 2.63
Ni: 0.5000 0.5000 0.0000  4 Pd 2.48, 2 Co 2.63
Pd: 0.2452 0.7500 0.1250  2 Co 2.44, 2 Ni 2.48, 2 Pd 2.63
Pd: 0.2500 0.2452 0.8750  2 Co 2.44, 2 Ni 2.48, 2 Pd 2.63
Pd: 0.2500 0.2548 0.3750  2 Co 2.44, 2 Ni 2.48, 2 Pd 2.63
Pd: 0.2548 0.7500 0.6250  2 Co 2.44, 2 Ni 2.48, 2 Pd 2.63
Pd: 0.7452 0.2500 0.6250  2 Co 2.44, 2 Ni 2.48, 2 Pd 2.63
Pd: 0.7500 0.7452 0.3750  2 Co 2.44, 2 Ni 2.48, 2 Pd 2.63
Pd: 0.7500 0.7548 0.8750  2 Co 2.44, 2 Ni 2.48, 2 Pd 2.63
Pd: 0.7548 0.2500 0.1250  2 Co 2.44, 2 Ni 2.48, 2 Pd 2.63



[5]
Below is a geometry-optimized Co14NiPd structure, with properties calculated at the GGA-PBE level.

Values from the calculation:
DFT total energy, eV/atom: -6.8887
V, Å³ per cell: 179.8

Lattice parameters (Å, degrees): 8.1323 5.0578 5.0578 59.82 90.00 90.00
With the nearest neighbours (Å) after each atom.
Sites, in units of the cell vectors:
Co: 0.0000 0.0000 0.0000  12 Co 2.46-2.54
Co: 0.0000 0.0001 0.4968  12 Co 2.46-2.54
Co: 0.0000 0.4968 0.0001  12 Co 2.46-2.54
Co: 0.0000 0.4984 0.4984  12 Co 2.47-2.53
Co: 0.2436 0.1599 0.6684  10 Co 2.46-2.57, 1 Ni 2.53, 1 Pd 2.56
Co: 0.2436 0.6684 0.1599  10 Co 2.46-2.57, 1 Ni 2.53, 1 Pd 2.56
Co: 0.2443 0.6677 0.6677  11 Co 2.46-2.57, 1 Pd 2.55
Co: 0.2512 0.1657 0.1657  11 Co 2.50-2.53, 1 Ni 2.50
Co: 0.5000 0.5015 0.9978  8 Co 2.50-2.54, 2 Ni 2.51-2.55, 2 Pd 2.53
Co: 0.5000 0.9978 0.5015  8 Co 2.50-2.54, 2 Ni 2.51-2.55, 2 Pd 2.53
Co: 0.7488 0.1657 0.1657  11 Co 2.50-2.53, 1 Ni 2.50
Co: 0.7564 0.1599 0.6684  10 Co 2.46-2.57, 1 Ni 2.53, 1 Pd 2.56
Co: 0.7564 0.6684 0.1599  10 Co 2.46-2.57, 1 Ni 2.53, 1 Pd 2.56
Co: 0.7557 0.6677 0.6677  11 Co 2.46-2.57, 1 Pd 2.55
Ni: 0.5000 0.9976 0.9976  10 Co 2.50-2.55, 2 Pd 2.52
Pd: 0.5000 0.4986 0.4986  2 Ni 2.52, 10 Co 2.53-2.56



[6]
Below is a geometry-optimized CoNi3Pd structure, with properties calculated at the GGA-PBE level.

Values from the calculation:
DFT total energy, eV/atom: -4.9888
Relative energy among the computed polymorphs, meV/atom: 882
V, Å³ per cell: 75.2

Lattice parameters (Å, degrees): 4.2211 4.2211 4.2211 90.00 90.00 90.00
With the nearest neighbours (Å) after each atom.
Sites, in units of the cell vectors:
Co: 0.0000 0.0000 0.0000  6 Ni 2.11
Ni: 0.0000 0.0000 0.5000  2 Co 2.11
Ni: 0.0000 0.5000 0.0000  2 Co 2.11
Ni: 0.5000 0.0000 0.0000  2 Co 2.11
Pd: 0.5000 0.5000 0.5000  12 Ni 2.98



[7]
Below is a geometry-optimized CoNi5Pd structure, with properties calculated at the GGA-PBE level.

Values from the calculation:
DFT total energy, eV/atom: -4.9132
Relative energy among the computed polymorphs, meV/atom: 782
V, Å³ per cell: 246.8

Lattice parameters (Å, degrees): 4.9086 7.7033 6.5259 90.00 90.00 90.00
With the nearest neighbours (Å) after each atom.
Sites, in units of the cell vectors:
Co: 0.0000 0.0000 0.0000  4 Ni 2.43-2.49, 2 Pd 2.45
Co: 0.5000 0.5000 0.5000  4 Ni 2.43-2.49, 2 Pd 2.45
Ni: 0.0000 0.2358 0.2478  3 Ni 2.21-2.27, 1 Co 2.43
Ni: 0.0000 0.5000 0.1163  4 Ni 2.21-2.22, 1 Pd 2.46
Ni: 0.0000 0.7642 0.2478  3 Ni 2.21-2.27, 1 Co 2.43
Ni: 0.2439 0.5000 0.8295  4 Ni 2.22-2.39
Ni: 0.2561 0.0000 0.3295  4 Ni 2.22-2.39
Ni: 0.5000 0.0000 0.6163  4 Ni 2.21-2.22, 1 Pd 2.46
Ni: 0.5000 0.2642 0.7478  3 Ni 2.21-2.27, 1 Co 2.43
Ni: 0.5000 0.7358 0.7478  3 Ni 2.21-2.27, 1 Co 2.43
Ni: 0.7439 0.0000 0.3295  4 Ni 2.22-2.39
Ni: 0.7561 0.5000 0.8295  4 Ni 2.22-2.39
Pd: 0.0000 0.5000 0.4926  2 Co 2.45, 5 Ni 2.46-2.59
Pd: 0.5000 0.0000 0.9926  2 Co 2.45, 5 Ni 2.46-2.59



[8]
Below is a geometry-optimized Co2NiPd structure, with properties calculated at the GGA-PBE level.

Values from the calculation:
DFT total energy, eV/atom: -6.2523
Relative energy among the computed polymorphs, meV/atom: 0
V, Å³ per cell: 97.3

Lattice parameters (Å, degrees): 2.6016 2.6016 14.3731 90.00 90.00 90.00
With the nearest neighbours (Å) after each atom.
Sites, in units of the cell vectors:
Co: 0.2500 0.2500 0.0556  8 Co 2.44-2.60, 4 Ni 2.52
Co: 0.2500 0.2500 0.2915  4 Ni 2.48, 4 Co 2.60, 4 Pd 2.64
Co: 0.7500 0.7500 0.7085  4 Ni 2.48, 4 Co 2.60, 4 Pd 2.64
Co: 0.7500 0.7500 0.9444  8 Co 2.44-2.60, 4 Ni 2.52
Ni: 0.2500 0.2500 0.8247  8 Co 2.48-2.52, 4 Ni 2.60
Ni: 0.7500 0.7500 0.1753  8 Co 2.48-2.52, 4 Ni 2.60
Pd: 0.2500 0.2500 0.5765  8 Pd 2.60-2.87, 4 Co 2.64
Pd: 0.7500 0.7500 0.4235  8 Pd 2.60-2.87, 4 Co 2.64



[9]
Below is a geometry-optimized Co2Ni9Pd structure, with properties calculated at the GGA-PBE level.

Values from the calculation:
DFT total energy, eV/atom: -5.9361
V, Å³ per cell: 136.0

Lattice parameters (Å, degrees): 3.5692 3.5692 10.6746 90.00 90.00 90.00
With the nearest neighbours (Å) after each atom.
Sites, in units of the cell vectors:
Co: 0.0000 0.0000 0.1649  12 Ni 2.46-2.52
Co: 0.0000 0.0000 0.8351  12 Ni 2.46-2.52
Ni: 0.0000 0.5000 0.0000  8 Ni 2.48-2.52, 4 Co 2.51
Ni: 0.0000 0.5000 0.3231  2 Co 2.46, 8 Ni 2.48-2.60, 2 Pd 2.60
Ni: 0.0000 0.5000 0.6769  2 Co 2.46, 8 Ni 2.48-2.60, 2 Pd 2.60
Ni: 0.5000 0.0000 0.0000  8 Ni 2.48-2.52, 4 Co 2.51
Ni: 0.5000 0.0000 0.3231  2 Co 2.46, 8 Ni 2.48-2.60, 2 Pd 2.60
Ni: 0.5000 0.0000 0.6769  2 Co 2.46, 8 Ni 2.48-2.60, 2 Pd 2.60
Ni: 0.5000 0.5000 0.1618  8 Ni 2.48, 4 Co 2.52
Ni: 0.5000 0.5000 0.5000  4 Pd 2.52, 8 Ni 2.60
Ni: 0.5000 0.5000 0.8382  8 Ni 2.48, 4 Co 2.52
Pd: 0.0000 0.0000 0.5000  12 Ni 2.52-2.60



[10]
Below is a geometry-optimized Co2NiPd structure, with properties calculated at the GGA-PBE level.

Values from the calculation:
DFT total energy, eV/atom: -5.8114
Relative energy among the computed polymorphs, meV/atom: 441
V, Å³ per cell: 214.5

Lattice parameters (Å, degrees): 6.5581 6.5581 4.9880 90.00 90.00 90.00
With the nearest neighbours (Å) after each atom.
Sites, in units of the cell vectors:
Co: 0.2204 0.7500 0.1250  2 Ni 2.27, 2 Co 2.52, 2 Pd 2.54
Co: 0.2500 0.2204 0.8750  2 Ni 2.27, 2 Co 2.52, 2 Pd 2.54
Co: 0.2500 0.2796 0.3750  2 Ni 2.27, 2 Co 2.52, 2 Pd 2.54
Co: 0.2796 0.7500 0.6250  2 Ni 2.27, 2 Co 2.52, 2 Pd 2.54
Co: 0.7204 0.2500 0.6250  2 Ni 2.27, 2 Co 2.52, 2 Pd 2.54
Co: 0.7500 0.7204 0.3750  2 Ni 2.27, 2 Co 2.52, 2 Pd 2.54
Co: 0.7500 0.7796 0.8750  2 Ni 2.27, 2 Co 2.52, 2 Pd 2.54
Co: 0.7796 0.2500 0.1250  2 Ni 2.27, 2 Co 2.52, 2 Pd 2.54
Ni: 0.0000 0.0000 0.0000  4 Co 2.27, 2 Pd 2.49
Ni: 0.0000 0.5000 0.2500  4 Co 2.27, 2 Pd 2.49
Ni: 0.5000 0.0000 0.7500  4 Co 2.27, 2 Pd 2.49
Ni: 0.5000 0.5000 0.5000  4 Co 2.27, 2 Pd 2.49
Pd: 0.0000 0.0000 0.5000  2 Ni 2.49, 4 Co 2.54
Pd: 0.0000 0.5000 0.7500  2 Ni 2.49, 4 Co 2.54
Pd: 0.5000 0.0000 0.2500  2 Ni 2.49, 4 Co 2.54
Pd: 0.5000 0.5000 0.0000  2 Ni 2.49, 4 Co 2.54



[11]
Below is a geometry-optimized CoNiPd4 structure, with properties calculated at the GGA-PBE level.

Values from the calculation:
DFT total energy, eV/atom: -5.2826
Relative energy among the computed polymorphs, meV/atom: 291
V, Å³ per cell: 97.1

Lattice parameters (Å, degrees): 7.1166 7.1166 7.1166 33.36 33.36 33.36
With the nearest neighbours (Å) after each atom.
Sites, in units of the cell vectors:
Co: 0.0000 0.0000 0.0000  8 Pd 2.50
Ni: 0.5000 0.5000 0.5000  8 Pd 2.51-2.52
Pd: 0.1242 0.1242 0.1242  1 Co 2.50, 3 Ni 2.51
Pd: 0.3751 0.3751 0.3751  3 Co 2.50, 1 Ni 2.52
Pd: 0.6249 0.6249 0.6249  3 Co 2.50, 1 Ni 2.52
Pd: 0.8758 0.8758 0.8758  1 Co 2.50, 3 Ni 2.51



[12]
Below is a geometry-optimized CoNiPd2 structure, with properties calculated at the GGA-PBE level.

Values from the calculation:
DFT total energy, eV/atom: -5.6370
Relative energy among the computed polymorphs, meV/atom: 136
V, Å³ per cell: 218.8

Lattice parameters (Å, degrees): 6.0254 6.0254 6.0254 90.00 90.00 90.00
With the nearest neighbours (Å) after each atom.
Sites, in units of the cell vectors:
Co: 0.0000 0.0000 0.0000  4 Ni 2.61, 4 Pd 2.61
Co: 0.0000 0.5000 0.5000  4 Ni 2.61, 4 Pd 2.61
Co: 0.5000 0.0000 0.5000  4 Ni 2.61, 4 Pd 2.61
Co: 0.5000 0.5000 0.0000  4 Ni 2.61, 4 Pd 2.61
Ni: 0.2500 0.2500 0.7500  4 Pd 2.61, 4 Co 2.61
Ni: 0.2500 0.7500 0.2500  4 Pd 2.61, 4 Co 2.61
Ni: 0.7500 0.2500 0.2500  4 Pd 2.61, 4 Co 2.61
Ni: 0.7500 0.7500 0.7500  4 Pd 2.61, 4 Co 2.61
Pd: 0.0000 0.0000 0.5000  4 Pd 2.61, 4 Ni 2.61
Pd: 0.0000 0.5000 0.0000  4 Pd 2.61, 4 Ni 2.61
Pd: 0.2500 0.2500 0.2500  4 Co 2.61, 4 Pd 2.61
Pd: 0.2500 0.7500 0.7500  4 Co 2.61, 4 Pd 2.61
Pd: 0.5000 0.0000 0.0000  4 Pd 2.61, 4 Ni 2.61
Pd: 0.5000 0.5000 0.5000  4 Pd 2.61, 4 Ni 2.61
Pd: 0.7500 0.2500 0.7500  4 Co 2.61, 4 Pd 2.61
Pd: 0.7500 0.7500 0.2500  4 Co 2.61, 4 Pd 2.61



Theoretical density, respectively: 9.87, 9.81, 10.32, 9.29, 9.14, 7.54, 6.18, 9.66, 9.19, 8.76, 9.29, 10.03 g cm⁻³.